Here is a relaxed structure of Li2SiIr from the Alexandria database. Energies are from PBE-GGA.

Results
Total moment   0.0000 μB/atom
Uncorrected energy   -4.85 eV per atom
Space group   No. 12
Formation energy (no corrections)   -323 meV/atom

a b c (Å): 5.1069 5.1069 2.8086
angles (deg): 102.50 102.50 124.46
Closest atoms and distances in Å follow each position.
Fractional positions:
1 Li 0.0000 0.5000 0.0000  2 Li 2.38, 2 Ir 2.63, 2 Si 2.63
2 Li 0.5000 0.0000 0.0000  2 Li 2.38, 2 Ir 2.63, 2 Si 2.63
3 Si 0.0000 0.0000 0.5000  2 Ir 2.38, 4 Li 2.63
4 Ir 0.5000 0.5000 0.5000  2 Si 2.38, 4 Li 2.63